## La6CePrDy2 (PBE)

Data for a relaxed structure of La6CePrDy2.

Properties
E_form = 0.219 eV/atom
SG = C2/m
Total energy = -47.30 eV per cell

POSCAR file:
```
La6CePrDy2
1.0
9.000 0.000 0.808
0.000 6.830 0.000
-2.598 -3.415 5.586
La Dy Ce Pr
6 2 1 1
Direct
0.415 0.662 0.324
0.585 0.338 0.676
0.187 0.111 0.701
0.187 0.590 0.701
0.813 0.889 0.299
0.813 0.410 0.299
0.822 0.899 0.797
0.178 0.101 0.203
0.000 0.500 0.000
0.500 0.000 0.000
```

***

## LaCePr6Dy2 (PBE)

Data for a relaxed structure of LaCePr6Dy2.

Properties
E_form = 0.220 eV/atom
SG = C2/m
Total energy = -46.54 eV per cell

POSCAR file:
```
LaCePr6Dy2
1.0
-5.802 3.990 -5.664
-2.498 -6.308 -1.885
-1.755 2.904 5.762
Pr Ce La Dy
6 1 1 2
Direct
0.581 0.368 0.736
0.199 0.067 0.664
0.801 0.933 0.336
0.801 0.404 0.336
0.199 0.596 0.664
0.419 0.632 0.264
0.000 0.500 0.000
0.500 0.000 0.000
0.155 0.094 0.189
0.845 0.906 0.811
```

***

## La2Ce2DyRh5 (PBE)

Data for a relaxed structure of La2Ce2DyRh5.

Properties
E_form = -0.611 eV/atom
SG = P4/mbm
Total energy = -138.38 eV per cell

POSCAR file:
```
La2Ce2DyRh5
1.0
3.606 0.000 0.000
0.000 11.037 0.000
0.000 0.000 11.037
Rh Ce La Dy
10 4 4 2
Direct
0.500 0.058 0.806
0.500 0.194 0.058
0.500 0.000 0.500
0.500 0.558 0.694
0.500 0.306 0.558
0.500 0.942 0.194
0.500 0.806 0.942
0.500 0.500 0.000
0.500 0.442 0.306
0.500 0.694 0.442
0.000 0.146 0.646
0.000 0.354 0.146
0.000 0.854 0.354
0.000 0.646 0.854
0.000 0.835 0.665
0.000 0.335 0.835
0.000 0.665 0.165
0.000 0.165 0.335
0.000 0.000 0.000
0.000 0.500 0.500
```

***

## La2CeDy3S6 (PBE)

Data for a relaxed structure of La2CeDy3S6.

Properties
Uncorrected formation energy = -2064 meV/atom
SG = C2/m
Total energy = -79.13 eV per cell

POSCAR file:
```
La2CeDy3S6
1.0
-1.713 2.511 -2.560
-3.106 -6.273 -4.073
-5.257 0.682 7.272
S Dy La Ce
6 3 2 1
Direct
0.663 0.595 0.325
0.337 0.405 0.675
0.005 0.744 0.010
0.995 0.256 0.990
0.669 0.071 0.339
0.331 0.929 0.661
0.833 0.165 0.666
0.167 0.835 0.334
0.500 0.500 0.000
0.165 0.331 0.331
0.835 0.669 0.669
0.500 0.000 0.000
```

***

## La2CeDyS4 (PBE)

Data for a relaxed structure of La2CeDyS4.

Properties
Uncorrected formation energy = -2092 meV/atom
SG = P2/m
Total energy = -53.64 eV per cell

POSCAR file:
```
La2CeDyS4
1.0
-0.152 -2.860 2.849
5.384 3.045 3.344
-6.062 2.712 2.398
Ce S La Dy
1 4 2 1
Direct
0.500 0.500 0.000
0.500 0.761 0.767
0.000 0.249 0.763
0.500 0.239 0.233
0.000 0.751 0.237
0.000 0.500 0.500
0.500 0.000 0.500
0.000 0.000 0.000
```

***

## La2CeDyS5 (PBE)

Data for a relaxed structure of La2CeDyS5.

Properties
Uncorrected formation energy = -1965 meV/atom
SG = Cmc2_1
Total energy = -117.42 eV per cell

POSCAR file:
```
La2CeDyS5
1.0
-1.854 -3.068 -1.842
8.196 -2.853 0.910
-3.148 -5.248 11.912
S Dy La Ce
10 2 4 2
Direct
0.080 0.161 0.081
0.494 0.988 0.758
0.388 0.776 0.982
0.711 0.421 0.900
0.612 0.224 0.482
0.920 0.839 0.581
0.506 0.012 0.258
0.746 0.492 0.181
0.289 0.579 0.400
0.254 0.508 0.681
0.765 0.530 0.536
0.235 0.470 0.036
0.081 0.163 0.640
0.138 0.276 0.303
0.919 0.837 0.140
0.862 0.724 0.803
0.446 0.892 0.444
0.554 0.108 0.944
```

***

## LaCe2DyS4 (PBE)

Data for a relaxed structure of LaCe2DyS4.

Properties
Uncorrected formation energy = -2054 meV/atom
SG = P2/m
Total energy = -54.34 eV per cell

POSCAR file:
```
LaCe2DyS4
1.0
4.018 0.000 0.000
0.000 6.991 0.131
0.000 -2.432 6.557
S Ce Dy La
4 2 1 1
Direct
0.500 0.762 0.756
0.000 0.760 0.251
0.000 0.240 0.749
0.500 0.238 0.244
0.000 0.500 0.500
0.500 0.000 0.500
0.000 0.000 0.000
0.500 0.500 0.000
```

***

## La3CeDy2S6 (PBE)

Data for a relaxed structure of La3CeDy2S6.

Properties
Uncorrected formation energy = -2091 meV/atom
SG = C2/m
Total energy = -79.78 eV per cell

POSCAR file:
```
La3CeDy2S6
1.0
6.995 -0.006 -0.004
-3.501 6.056 -0.004
-1.169 -2.025 6.658
Dy S Ce La
2 6 1 3
Direct
0.667 0.333 0.000
0.333 0.667 0.000
0.738 0.738 0.232
0.078 0.417 0.234
0.262 0.262 0.768
0.583 0.922 0.766
0.417 0.078 0.234
0.922 0.583 0.766
0.000 0.000 0.000
0.500 0.500 0.500
0.165 0.835 0.500
0.835 0.165 0.500
```

***

## La3Ce4DyS8 (PBE)

Data for a relaxed structure of La3Ce4DyS8.

Properties
Uncorrected formation energy = -2075 meV/atom
SG = R-3m
Total energy = -109.33 eV per cell

POSCAR file:
```
La3Ce4DyS8
1.0
8.121 0.000 0.000
0.000 8.129 0.000
-4.060 -4.056 5.745
S Ce La Dy
8 4 3 1
Direct
0.245 0.751 0.006
0.247 0.242 0.494
0.245 0.751 0.491
0.240 0.249 0.994
0.755 0.249 0.509
0.753 0.758 0.506
0.755 0.249 0.994
0.760 0.751 0.006
0.500 0.000 0.500
0.500 0.000 0.000
0.000 0.000 0.000
0.000 0.000 0.500
0.500 0.500 0.500
0.500 0.500 0.000
0.000 0.500 0.500
0.000 0.500 0.000
```

***

## La3CeDy3S8 (PBE)

Data for a relaxed structure of La3CeDy3S8.

Properties
Uncorrected formation energy = -2076 meV/atom
SG = R-3m
Total energy = -98.68 eV per cell

POSCAR file:
```
La3CeDy3S8
1.0
7.997 0.000 0.000
-3.998 6.926 -0.025
0.000 -4.593 6.691
S Dy La Ce
8 3 3 1
Direct
0.256 0.513 0.269
0.250 0.986 0.737
0.750 0.014 0.263
0.750 0.499 0.263
0.264 0.014 0.263
0.250 0.501 0.737
0.744 0.487 0.731
0.736 0.986 0.737
0.500 0.000 0.500
0.000 0.500 0.500
0.500 0.500 0.500
0.500 0.500 0.000
0.000 0.000 0.000
0.000 0.500 0.000
0.000 0.000 0.500
```

***

## LaCe2Dy3S6 (PBE)

Data for a relaxed structure of LaCe2Dy3S6.

Properties
Uncorrected formation energy = -2047 meV/atom
SG = C2/m
Total energy = -79.93 eV per cell

POSCAR file:
```
LaCe2Dy3S6
1.0
6.871 -0.004 -0.002
-3.438 5.949 -0.002
-1.147 -1.986 6.586
S Ce Dy La
6 2 3 1
Direct
0.250 0.250 0.737
0.750 0.750 0.263
0.911 0.574 0.734
0.426 0.089 0.266
0.089 0.426 0.266
0.574 0.911 0.734
0.333 0.667 0.000
0.667 0.333 0.000
0.836 0.164 0.500
0.164 0.836 0.500
0.500 0.500 0.500
0.000 0.000 0.000
```

***

## La2CeDySb4 (PBE)

Data for a relaxed structure of La2CeDySb4.

Properties
Uncorrected formation energy = -1180 meV/atom
SG = P2/m
Total energy = -46.32 eV per cell

POSCAR file:
```
La2CeDySb4
1.0
4.537 0.000 0.000
0.000 7.846 0.134
0.000 -2.745 7.365
Sb Ce La Dy
4 1 2 1
Direct
0.000 0.749 0.240
0.500 0.756 0.762
0.000 0.251 0.760
0.500 0.244 0.238
0.500 0.500 0.000
0.500 0.000 0.500
0.000 0.500 0.500
0.000 0.000 0.000
```

***

- Among the records above, which one has the lowest total energy?
  La2Ce2DyRh5